No. 1
Computed, not measured: a geometry-optimized CrRh2 structure at the PBEsol level of DFT.

abc: 5.7632 5.7632 5.7632
angles: 153.45 153.45 37.90
Last column: nearest neighbours and their distance in Å.
Fractional positions:
Cr 0.0000 0.0000 0.0000  8 Rh 2.54, 4 Cr 2.65
Rh 0.3428 0.3428 0.0000  4 Cr 2.54, 8 Rh 2.65-2.76
Rh 0.6572 0.6572 0.0000  4 Cr 2.54, 8 Rh 2.65-2.76

Formation energy: -94.5 meV per atom



No. 2
Computed, not measured: a geometry-optimized SrCa2Mg structure at the PBEsol level of DFT.

abc: 5.2198 5.2198 5.5451
angles: 90.00 90.00 90.00
Last column: nearest neighbours and their distance in Å.
Fractional positions:
Sr 0.0000 0.0000 0.0000  4 Mg 3.69, 8 Ca 3.81
Ca 0.0000 0.5000 0.5000  4 Ca 3.69, 4 Mg 3.81, 4 Sr 3.81
Ca 0.5000 0.0000 0.5000  4 Ca 3.69, 4 Mg 3.81, 4 Sr 3.81
Mg 0.5000 0.5000 0.0000  4 Sr 3.69, 8 Ca 3.81

Formation energy: 13.0 meV per atom



No. 3
Computed, not measured: a geometry-optimized In2SbSe structure at the PBEsol level of DFT.

abc: 8.5269 8.5269 8.5269
angles: 25.92 25.92 25.92
Last column: nearest neighbours and their distance in Å.
Fractional positions:
In 0.0000 0.0000 0.0000  3 Sb 3.01, 3 In 3.14
In 0.2433 0.2433 0.2433  3 Se 2.70
Sb 0.7494 0.7494 0.7494  3 In 3.01, 3 Se 3.27
Se 0.5138 0.5138 0.5138  3 In 2.70

Uncorrected formation energy: -0.08 eV per atom



No. 4
Computed, not measured: a geometry-optimized TaBrCl2 structure at the PBEsol level of DFT.

abc: 4.8780 4.8780 4.8780
angles: 127.73 127.73 77.06
Last column: nearest neighbours and their distance in Å.
Fractional positions:
Ta 0.0000 0.0000 0.0000  8 Cl 2.87, 4 Br 3.04
Br 0.5000 0.5000 0.0000  8 Cl 2.87, 4 Ta 3.04
Cl 0.2500 0.7500 0.5000  4 Ta 2.87, 4 Br 2.87, 4 Cl 3.04
Cl 0.7500 0.2500 0.5000  4 Ta 2.87, 4 Br 2.87, 4 Cl 3.04

Uncorrected formation energy: 0.26 eV per atom



No. 5
Computed, not measured: a geometry-optimized SrMgTaW2 structure at the PBEsol level of DFT.

abc: 4.8106 4.8106 5.3861
angles: 90.00 90.00 90.00
Last column: nearest neighbours and their distance in Å.
Fractional positions:
Sr 0.0000 0.0000 0.0000  4 Mg 3.40, 8 W 3.61
Mg 0.5000 0.5000 0.0000  2 Ta 2.69
Ta 0.5000 0.5000 0.5000  4 W 2.41, 2 Mg 2.69
W 0.0000 0.5000 0.5000  2 Ta 2.41
W 0.5000 0.0000 0.5000  2 Ta 2.41

Formation energy: 1482.6 meV per atom



No. 6
Computed, not measured: a geometry-optimized Ba3Nb6Si4O26 structure at the PBEsol level of DFT.

abc: 9.0900 9.0900 7.7448
angles: 90.00 90.00 120.00
Last column: nearest neighbours and their distance in Å.
Fractional positions:
Ba 0.0000 0.6030 0.0000  12 O 2.88-3.13
Ba 0.3970 0.3970 0.0000  12 O 2.88-3.13
Ba 0.6030 0.0000 0.0000  12 O 2.88-3.13
Nb 0.0000 0.2389 0.2563  6 O 1.94-2.06
Nb 0.0000 0.2389 0.7437  6 O 1.94-2.06
Nb 0.2389 0.0000 0.2563  6 O 1.94-2.06
Nb 0.2389 0.0000 0.7437  6 O 1.94-2.06
Nb 0.7611 0.7611 0.2563  6 O 1.94-2.06
Nb 0.7611 0.7611 0.7437  6 O 1.94-2.06
Si 0.3333 0.6667 0.2918  4 O 1.61-1.63
Si 0.3333 0.6667 0.7082  4 O 1.61-1.63
Si 0.6667 0.3333 0.2918  4 O 1.61-1.63
Si 0.6667 0.3333 0.7082  4 O 1.61-1.63
O 0.0000 0.2248 0.0000  2 Nb 1.99
O 0.0000 0.2876 0.5000  2 Nb 1.94
O 0.0000 0.8226 0.2712  2 Nb 1.96
O 0.0000 0.8226 0.7288  2 Nb 1.96
O 0.1774 0.1774 0.2712  2 Nb 1.96
O 0.1774 0.1774 0.7288  2 Nb 1.96
O 0.1837 0.4880 0.2117  1 Si 1.63
O 0.1837 0.4880 0.7883  1 Si 1.63
O 0.2248 0.0000 0.0000  2 Nb 1.99
O 0.2876 0.0000 0.5000  2 Nb 1.94
O 0.3043 0.8163 0.2117  1 Si 1.63
O 0.3043 0.8163 0.7883  1 Si 1.63
O 0.3333 0.6667 0.5000  2 Si 1.61
O 0.4880 0.1837 0.2117  1 Si 1.63
O 0.4880 0.1837 0.7883  1 Si 1.63
O 0.5120 0.6957 0.2117  1 Si 1.63
O 0.5120 0.6957 0.7883  1 Si 1.63
O 0.6667 0.3333 0.5000  2 Si 1.61
O 0.6957 0.5120 0.2117  1 Si 1.63
O 0.6957 0.5120 0.7883  1 Si 1.63
O 0.7124 0.7124 0.5000  2 Nb 1.94
O 0.7752 0.7752 0.0000  2 Nb 1.99
O 0.8163 0.3043 0.2117  1 Si 1.63
O 0.8163 0.3043 0.7883  1 Si 1.63
O 0.8226 0.0000 0.2712  2 Nb 1.96
O 0.8226 0.0000 0.7288  2 Nb 1.96

Uncorrected formation energy: -2.79 eV per atom



No. 7
Computed, not measured: a geometry-optimized MgTc2Pt structure at the PBEsol level of DFT.

abc: 4.6514 4.6514 4.9706
angles: 96.74 96.74 33.74
Last column: nearest neighbours and their distance in Å.
Fractional positions:
Mg 0.0000 0.0000 0.0000  3 Pt 2.55-2.67, 2 Mg 2.70, 3 Tc 2.78
Tc 0.5214 0.5214 0.4924  3 Tc 2.41-2.70
Tc 0.7599 0.7599 0.3078  3 Tc 2.41-2.70
Pt 0.2519 0.2519 0.8045  3 Mg 2.55-2.67, 2 Pt 2.70, 6 Tc 2.77-2.84

Formation energy: -40.8 meV per atom



No. 8
Computed, not measured: a geometry-optimized RbZrSc2 structure at the PBEsol level of DFT.

abc: 12.6007 12.6007 12.6007
angles: 14.63 14.63 14.63
Last column: nearest neighbours and their distance in Å.
Fractional positions:
Rb 0.0000 0.0000 0.0000  6 Rb 3.21
Zr 0.5000 0.5000 0.5000  2 Sc 2.84
Sc 0.4240 0.4240 0.4240  1 Zr 2.84
Sc 0.5760 0.5760 0.5760  1 Zr 2.84

Formation energy: 691.4 meV per atom



No. 9
Computed, not measured: a geometry-optimized LaRuF2 structure at the PBEsol level of DFT.

abc: 4.3589 4.3589 4.3589
angles: 60.00 60.00 60.00
Last column: nearest neighbours and their distance in Å.
Fractional positions:
La 0.0000 0.0000 0.0000  8 F 2.67
Ru 0.5000 0.5000 0.5000  8 F 2.67
F 0.2500 0.2500 0.2500  4 La 2.67, 4 Ru 2.67
F 0.7500 0.7500 0.7500  4 La 2.67, 4 Ru 2.67

Uncorrected formation energy: -1.30 eV per atom



No. 10
Computed, not measured: a geometry-optimized Cr2CoAg structure at the PBEsol level of DFT.

abc: 2.5338 2.5338 7.6279
angles: 90.00 90.00 90.00
Last column: nearest neighbours and their distance in Å.
Fractional positions:
Cr 0.0000 0.0000 0.0000  4 Co 2.36, 8 Cr 2.53-2.60
Cr 0.5000 0.5000 0.2468  8 Cr 2.53-2.60, 4 Ag 2.79
Co 0.5000 0.5000 0.7992  4 Cr 2.36, 4 Co 2.53
Ag 0.0000 0.0000 0.5268  4 Ag 2.53, 4 Co 2.74, 4 Cr 2.79

Formation energy: 384.1 meV per atom



No. 11
Computed, not measured: a geometry-optimized CeHoIn2 structure at the PBEsol level of DFT.

abc: 5.2771 5.2771 5.2771
angles: 60.00 60.00 60.00
Last column: nearest neighbours and their distance in Å.
Fractional positions:
Ce 0.0000 0.0000 0.0000  8 In 3.23
Ho 0.5000 0.5000 0.5000  8 In 3.23
In 0.2500 0.2500 0.2500  4 Ce 3.23, 4 Ho 3.23
In 0.7500 0.7500 0.7500  4 Ce 3.23, 4 Ho 3.23

Formation energy: -398.0 meV per atom



No. 12
Computed, not measured: a geometry-optimized SbP4O12 structure at the PBEsol level of DFT.

abc: 13.4847 7.7844 9.4554
angles: 90.00 90.00 90.00
Last column: nearest neighbours and their distance in Å.
Fractional positions:
Sb 0.0000 0.1722 0.2500  6 O 2.08-2.15
Sb 0.0000 0.8278 0.7500  6 O 2.08-2.15
Sb 0.5000 0.3278 0.7500  6 O 2.08-2.15
Sb 0.5000 0.6722 0.2500  6 O 2.08-2.15
P 0.1464 0.0442 0.5212  4 O 1.52-1.58
P 0.1464 0.9558 0.0212  4 O 1.52-1.58
P 0.1511 0.3408 0.0022  3 O 1.46-1.62
P 0.1511 0.6592 0.5022  3 O 1.46-1.62
P 0.3489 0.1592 0.5022  3 O 1.46-1.62
P 0.3489 0.8408 0.0022  3 O 1.46-1.62
P 0.3536 0.4558 0.0212  4 O 1.52-1.58
P 0.3536 0.5442 0.5212  4 O 1.52-1.58
P 0.6464 0.4558 0.4788  4 O 1.52-1.58
P 0.6464 0.5442 0.9788  4 O 1.52-1.58
P 0.6511 0.1592 0.9978  3 O 1.46-1.62
P 0.6511 0.8408 0.4978  3 O 1.46-1.62
P 0.8489 0.3408 0.4978  3 O 1.46-1.62
P 0.8489 0.6592 0.9978  3 O 1.46-1.62
P 0.8536 0.0442 0.9788  4 O 1.52-1.58
P 0.8536 0.9558 0.4788  4 O 1.52-1.58
O 0.0704 0.0366 0.6393  1 P 1.52
O 0.0704 0.9634 0.1393  1 P 1.52
O 0.0721 0.3459 0.1186  1 P 1.53
O 0.0721 0.6541 0.6186  1 P 1.53
O 0.1179 0.1592 0.3982  1 P 1.52
O 0.1179 0.8408 0.8982  1 P 1.52
O 0.1392 0.4437 0.8743  1 P 1.46
O 0.1392 0.5563 0.3743  1 P 1.46
O 0.1702 0.1408 0.9622  2 P 1.58-1.62
O 0.1702 0.8592 0.4622  2 P 1.58-1.62
O 0.2463 0.1149 0.5870  2 P 1.58-1.64
O 0.2463 0.8851 0.0870  2 P 1.58-1.64
O 0.2537 0.3851 0.0870  2 P 1.58-1.64
O 0.2537 0.6149 0.5870  2 P 1.58-1.64
O 0.3298 0.3592 0.4622  2 P 1.58-1.62
O 0.3298 0.6408 0.9622  2 P 1.58-1.62
O 0.3608 0.0563 0.3743  1 P 1.46
O 0.3608 0.9437 0.8743  1 P 1.46
O 0.3821 0.3408 0.8982  1 P 1.52
O 0.3821 0.6592 0.3982  1 P 1.52
O 0.4279 0.1541 0.6186  1 P 1.53
O 0.4279 0.8459 0.1186  1 P 1.53
O 0.4296 0.4634 0.1393  1 P 1.52
O 0.4296 0.5366 0.6393  1 P 1.52
O 0.5704 0.4634 0.3607  1 P 1.52
O 0.5704 0.5366 0.8607  1 P 1.52
O 0.5721 0.1541 0.8814  1 P 1.53
O 0.5721 0.8459 0.3814  1 P 1.53
O 0.6179 0.3408 0.6018  1 P 1.52
O 0.6179 0.6592 0.1018  1 P 1.52
O 0.6392 0.0563 0.1257  1 P 1.46
O 0.6392 0.9437 0.6257  1 P 1.46
O 0.6702 0.3592 0.0378  2 P 1.58-1.62
O 0.6702 0.6408 0.5378  2 P 1.58-1.62
O 0.7463 0.3851 0.4130  2 P 1.58-1.64
O 0.7463 0.6149 0.9130  2 P 1.58-1.64
O 0.7537 0.1149 0.9130  2 P 1.58-1.64
O 0.7537 0.8851 0.4130  2 P 1.58-1.64
O 0.8298 0.1408 0.5378  2 P 1.58-1.62
O 0.8298 0.8592 0.0378  2 P 1.58-1.62
O 0.8608 0.4437 0.6257  1 P 1.46
O 0.8608 0.5563 0.1257  1 P 1.46
O 0.8821 0.1592 0.1018  1 P 1.52
O 0.8821 0.8408 0.6018  1 P 1.52
O 0.9279 0.3459 0.3814  1 P 1.53
O 0.9279 0.6541 0.8814  1 P 1.53
O 0.9296 0.0366 0.8607  1 P 1.52
O 0.9296 0.9634 0.3607  1 P 1.52

Uncorrected formation energy: -1.90 eV per atom